[1]
## La2AlRh2 (PBE)

Data for a relaxed structure of La2AlRh2.

Values from the calculation:
energy: -29.6 eV/f.u.
energy relative to the elements: -0.266 eV/atom
DOS at the Fermi energy: 3.79 states/eV/f.u.

Cell lengths 8.188, 8.188, 8.188 Å; angles 151.41, 151.41, 40.88 degrees
Fractional positions:
La 0.121 0.121 0.000
La 0.879 0.879 0.000
Al 0.500 0.500 0.000
Rh 0.250 0.750 0.500
Rh 0.750 0.250 0.500

[2]
## Pu2Al6GaAu (PBE)

Data for a relaxed structure of Pu2Al6GaAu.

Values from the calculation:
energy: -58.2 eV/f.u.
energy relative to the elements: -0.077 eV/atom
DOS at the Fermi energy: 22.53 states/eV/f.u.

Cell lengths 17.662, 17.662, 17.662 Å; angles 17.89, 17.89, 17.89 degrees
Fractional positions:
Pu 0.096 0.096 0.096
Pu 0.324 0.324 0.324
Pu 0.676 0.676 0.676
Pu 0.904 0.904 0.904
Al 0.120 0.631 0.631
Al 0.209 0.209 0.712
Al 0.209 0.712 0.209
Al 0.288 0.791 0.791
Al 0.369 0.369 0.880
Al 0.369 0.880 0.369
Al 0.631 0.120 0.631
Al 0.631 0.631 0.120
Al 0.712 0.209 0.209
Al 0.791 0.288 0.791
Al 0.791 0.791 0.288
Al 0.880 0.369 0.369
Ga 0.420 0.420 0.420
Ga 0.580 0.580 0.580
Au 0.000 0.000 0.000
Au 0.500 0.500 0.500

[3]
## NbAsSe2N (PBE)

Data for a relaxed structure of NbAsSe2N.

Values from the calculation:
energy relative to the elements, uncorrected: 250 meV/atom
energy: -28.8 eV/f.u.
DOS at the Fermi energy: 3.96 states/eV/f.u.

Cell lengths 5.193, 5.193, 3.869 Å; angles 90.00, 90.00, 90.00 degrees
Fractional positions:
Nb 0.000 0.000 0.000
As 0.500 0.500 0.500
Se 0.000 0.500 0.000
Se 0.500 0.000 0.000
N 0.000 0.000 0.500

[4]
## Li4Ti3CuSe8 (PBE)

Data for a relaxed structure of Li4Ti3CuSe8.

Values from the calculation:
energy relative to the elements, uncorrected: -1041 meV/atom
energy: -80.0 eV/f.u.
DOS at the Fermi energy: 6.72 states/eV/f.u.

Cell lengths 7.672, 7.672, 7.672 Å; angles 57.61, 57.61, 57.61 degrees
Fractional positions:
Li 0.000 0.000 0.000
Li 0.000 0.500 0.500
Li 0.500 0.000 0.500
Li 0.500 0.500 0.000
Ti 0.000 0.000 0.500
Ti 0.000 0.500 0.000
Ti 0.500 0.000 0.000
Cu 0.500 0.500 0.500
Se 0.241 0.745 0.745
Se 0.246 0.246 0.246
Se 0.255 0.255 0.759
Se 0.255 0.759 0.255
Se 0.745 0.241 0.745
Se 0.745 0.745 0.241
Se 0.754 0.754 0.754
Se 0.759 0.255 0.255

[5]
## ZrAlGa (PBE)

Data for a relaxed structure of ZrAlGa.

Values from the calculation:
energy: -15.4 eV/f.u.
energy relative to the elements: -0.044 eV/atom
DOS at the Fermi energy: 3.19 states/eV/f.u.

Cell lengths 4.880, 4.880, 4.880 Å; angles 134.17, 134.17, 66.82 degrees
Fractional positions:
Zr 0.000 0.000 0.000
Al 0.347 0.347 0.000
Ga 0.661 0.661 0.000

[6]
## LuUPa (PBE)

Data for a relaxed structure of LuUPa.

Values from the calculation:
energy: -24.5 eV/f.u.
energy relative to the elements: 0.273 eV/atom
DOS at the Fermi energy: 7.04 states/eV/f.u.

Cell lengths 3.230, 3.230, 8.270 Å; angles 90.00, 90.00, 120.00 degrees
Fractional positions:
Lu 0.000 0.000 0.000
U 0.667 0.333 0.336
Pa 0.333 0.667 0.659

[7]
## Tb6Pr2SmEr3 (PBE)

Data for a relaxed structure of Tb6Pr2SmEr3.

Values from the calculation:
energy: -55.5 eV/f.u.
energy relative to the elements: 0.019 eV/atom
DOS at the Fermi energy: 15.81 states/eV/f.u.

Cell lengths 6.200, 6.200, 11.853 Å; angles 94.99, 94.99, 119.98 degrees
Fractional positions:
Tb 0.085 0.418 0.755
Tb 0.247 0.247 0.245
Tb 0.418 0.085 0.755
Tb 0.582 0.915 0.245
Tb 0.753 0.753 0.755
Tb 0.915 0.582 0.245
Pr 0.333 0.667 0.500
Pr 0.667 0.333 0.500
Sm 0.000 0.000 0.500
Er 0.167 0.833 0.000
Er 0.500 0.500 0.000
Er 0.833 0.167 0.000

[8]
## La2Pt2S (PBE)

Data for a relaxed structure of La2Pt2S.

Values from the calculation:
energy relative to the elements, uncorrected: -1181 meV/atom
energy: -32.0 eV/f.u.
DOS at the Fermi energy: 1.65 states/eV/f.u.

Cell lengths 7.954, 7.954, 3.783 Å; angles 90.00, 90.00, 90.00 degrees
Fractional positions:
La 0.183 0.317 0.000
La 0.317 0.817 0.000
La 0.683 0.183 0.000
La 0.817 0.683 0.000
Pt 0.121 0.621 0.500
Pt 0.379 0.121 0.500
Pt 0.621 0.879 0.500
Pt 0.879 0.379 0.500
S 0.000 0.000 0.500
S 0.500 0.500 0.500

[9]
## Ca2OsRu (PBE)

Data for a relaxed structure of Ca2OsRu.

Values from the calculation:
energy: -22.1 eV/f.u.
energy relative to the elements: 0.609 eV/atom
DOS at the Fermi energy: 3.75 states/eV/f.u.

Cell lengths 2.691, 4.512, 6.370 Å; angles 90.00, 90.00, 90.00 degrees
Fractional positions:
Ca 0.000 0.000 0.250
Ca 0.000 0.000 0.750
Os 0.500 0.500 0.000
Ru 0.500 0.500 0.500

[10]
## Cs2PSBr6 (PBE)

Data for a relaxed structure of Cs2PSBr6.

Values from the calculation:
energy relative to the elements, uncorrected: -703 meV/atom
energy: -28.3 eV/f.u.
DOS at the Fermi energy: 3.92 states/eV/f.u.

Cell lengths 7.626, 7.626, 7.626 Å; angles 118.57, 118.57, 92.50 degrees
Fractional positions:
Cs 0.250 0.750 0.500
Cs 0.750 0.250 0.500
P 0.000 0.000 0.000
S 0.500 0.500 0.000
Br 0.231 0.231 0.463
Br 0.231 0.769 0.000
Br 0.246 0.246 0.000
Br 0.754 0.754 0.000
Br 0.769 0.231 0.000
Br 0.769 0.769 0.537

[11]
## Nd3URu3 (PBE)

Data for a relaxed structure of Nd3URu3.

Values from the calculation:
energy: -55.5 eV/f.u.
energy relative to the elements: -0.294 eV/atom
DOS at the Fermi energy: 7.69 states/eV/f.u.

Cell lengths 6.095, 6.095, 14.096 Å; angles 90.00, 90.00, 140.00 degrees
Fractional positions:
Nd 0.000 0.000 0.250
Nd 0.000 0.000 0.750
Nd 0.280 0.720 0.614
Nd 0.280 0.720 0.886
Nd 0.720 0.280 0.114
Nd 0.720 0.280 0.386
U 0.000 0.000 0.000
U 0.000 0.000 0.500
Ru 0.308 0.692 0.250
Ru 0.435 0.565 0.085
Ru 0.435 0.565 0.415
Ru 0.565 0.435 0.585
Ru 0.565 0.435 0.915
Ru 0.692 0.308 0.750

[12]
## AlCr2Pt (PBE)

Data for a relaxed structure of AlCr2Pt.

Values from the calculation:
energy: -29.6 eV/f.u.
energy relative to the elements: -0.142 eV/atom
DOS at the Fermi energy: 3.64 states/eV/f.u.

Cell lengths 4.790, 4.790, 2.627 Å; angles 90.43, 90.43, 117.33 degrees
Fractional positions:
Al 0.000 0.000 0.000
Cr 0.000 0.500 0.500
Cr 0.500 0.000 0.500
Pt 0.500 0.500 0.000

Record-wise total moment values, in μB per cell: 0.00 22.59 0.16 0.01 0.00 1.75 0.00 0.00 0.00 0.00 1.25 0.00